Version A
VASP calculation (PBE) on an optimized crystal structure of CaCdSN2.

Unit cell a=4.2744 b=4.2744 c=5.4097 alpha=90.00 beta=90.00 gamma=90.00
Closest atoms and distances in Å follow each position.
Positions (direct):
Ca (0.0000, 0.0000, 0.0000)  4 S 3.02
Cd (0.5000, 0.5000, 0.5000)  4 N 2.14
S (0.5000, 0.5000, 0.0000)  2 Cd 2.70, 4 Ca 3.02
N (0.0000, 0.5000, 0.5000)  2 Cd 2.14
N (0.5000, 0.0000, 0.5000)  2 Cd 2.14

Properties
- Density: 3.57 g/cm3

Version B
VASP calculation (PBE) on an optimized crystal structure of CaCdSN2.

Unit cell a=4.1166 b=4.1166 c=5.0938 alpha=90.00 beta=90.00 gamma=90.00
Closest atoms and distances in Å follow each position.
Positions (direct):
Ca (0.0000, 0.0000, 0.0000)  2 S 2.55
Cd (0.5000, 0.5000, 0.0000)  4 Ca 2.91
S (0.0000, 0.0000, 0.5000)  4 N 2.06
N (0.0000, 0.5000, 0.5000)  2 S 2.06
N (0.5000, 0.0000, 0.5000)  2 S 2.06

Properties
- Density: 4.09 g/cm3

Version C
VASP calculation (PBE) on an optimized crystal structure of CaCdSN2.

Unit cell a=4.4987 b=4.4987 c=5.5723 alpha=90.00 beta=90.00 gamma=90.00
Closest atoms and distances in Å follow each position.
Positions (direct):
Ca (0.0000, 0.0000, 0.0000)  4 N 2.25
Cd (0.5000, 0.5000, 0.5000)  4 S 3.18
S (0.0000, 0.0000, 0.5000)  2 Ca 2.79
N (0.0000, 0.5000, 0.0000)  2 Ca 2.25
N (0.5000, 0.0000, 0.0000)  2 Ca 2.25

Properties
- Density: 3.13 g/cm3

version A comes first in stability; the runner-up is 34.2 kJ/mol of atoms higher.

Version A
VASP calculation (PBE) on an optimized crystal structure of Ca2CdTcN.

Unit cell a=5.9067 b=5.9067 c=3.8816 alpha=90.00 beta=90.00 gamma=90.00
Closest atoms and distances in Å follow each position.
Positions (direct):
Ca (0.0000, 0.5000, 0.0000)  2 Cd 2.95
Ca (0.5000, 0.0000, 0.0000)  2 Cd 2.95
Cd (0.0000, 0.0000, 0.0000)  2 N 1.94
Tc (0.5000, 0.5000, 0.5000)  8 Ca 3.53, 2 Tc 3.88
N (0.0000, 0.0000, 0.5000)  2 Cd 1.94

Properties
- Density: 3.73 g/cm3

Version B
VASP calculation (PBE) on an optimized crystal structure of Ca2CdTcN.

Unit cell a=5.1005 b=5.1005 c=3.8941 alpha=90.00 beta=90.00 gamma=90.00
Closest atoms and distances in Å follow each position.
Positions (direct):
Ca (0.0000, 0.5000, 0.0000)  2 N 2.55
Ca (0.5000, 0.0000, 0.0000)  2 N 2.55
Cd (0.0000, 0.0000, 0.5000)  8 Ca 3.21
Tc (0.5000, 0.5000, 0.5000)  2 N 1.95
N (0.5000, 0.5000, 0.0000)  2 Tc 1.95

Properties
- Density: 4.99 g/cm3

version B comes first in stability; the runner-up is 155.7 kJ/mol of atoms higher.

Version A
VASP calculation (PBE) on an optimized crystal structure of CaCdTe2N.

Unit cell a=5.9315 b=5.9315 c=4.2953 alpha=90.00 beta=90.00 gamma=90.00
Closest atoms and distances in Å follow each position.
Positions (direct):
Ca (0.0000, 0.0000, 0.0000)  2 N 2.15
Cd (0.5000, 0.5000, 0.5000)  8 Te 3.66
Te (0.0000, 0.5000, 0.0000)  2 Ca 2.97
Te (0.5000, 0.0000, 0.0000)  2 Ca 2.97
N (0.0000, 0.0000, 0.5000)  2 Ca 2.15

Properties
- Density: 4.63 g/cm3

Version B
VASP calculation (PBE) on an optimized crystal structure of CaCdTe2N.

Unit cell a=5.8150 b=5.8150 c=4.2317 alpha=90.00 beta=90.00 gamma=90.00
Closest atoms and distances in Å follow each position.
Positions (direct):
Ca (0.0000, 0.0000, 0.0000)  8 Te 3.60
Cd (0.5000, 0.5000, 0.5000)  2 N 2.12
Te (0.0000, 0.5000, 0.5000)  2 Cd 2.91
Te (0.5000, 0.0000, 0.5000)  2 Cd 2.91
N (0.5000, 0.5000, 0.0000)  2 Cd 2.12

Properties
- Density: 4.89 g/cm3

version B comes first in stability; the runner-up is 37.5 kJ/mol of atoms higher.

Version A
VASP calculation (PBE) on an optimized crystal structure of NaCa4Cd2.

Unit cell a=9.2059 b=9.2059 c=9.2059 alpha=35.50 beta=35.50 gamma=35.50
Closest atoms and distances in Å follow each position.
Positions (direct):
Na (0.0000, 0.0000, 0.0000)  8 Ca 3.42-3.54, 6 Cd 3.79
Ca (0.1325, 0.1325, 0.1325)  4 Cd 3.23-3.56, 1 Na 3.42
Ca (0.3884, 0.3884, 0.3884)  4 Cd 3.29-3.39, 3 Na 3.54
Ca (0.6116, 0.6116, 0.6116)  4 Cd 3.29-3.39, 3 Na 3.54
Ca (0.8675, 0.8675, 0.8675)  4 Cd 3.23-3.56, 1 Na 3.42
Cd (0.2574, 0.2574, 0.2574)  8 Ca 3.23-3.56
Cd (0.7426, 0.7426, 0.7426)  8 Ca 3.23-3.56

Properties
- Density: 2.88 g/cm3

Version B
VASP calculation (PBE) on an optimized crystal structure of NaCa4Cd2.

Unit cell a=11.0145 b=11.0145 c=11.0145 alpha=28.00 beta=28.00 gamma=28.00
Closest atoms and distances in Å follow each position.
Positions (direct):
Na (0.0000, 0.0000, 0.0000)  2 Cd 3.08
Ca (0.2022, 0.2022, 0.2022)  4 Cd 3.26-3.33
Ca (0.3915, 0.3915, 0.3915)  3 Cd 3.32, 3 Na 3.59
Ca (0.6085, 0.6085, 0.6085)  3 Cd 3.32, 3 Na 3.59
Ca (0.7978, 0.7978, 0.7978)  4 Cd 3.26-3.33
Cd (0.0972, 0.0972, 0.0972)  1 Na 3.08, 7 Ca 3.26-3.33
Cd (0.9028, 0.9028, 0.9028)  1 Na 3.08, 7 Ca 3.26-3.33

Properties
- Density: 2.61 g/cm3

version A comes first in stability; the runner-up is 8.4 kJ/mol of atoms higher.

Version A
VASP calculation (PBE) on an optimized crystal structure of NaCa6Cd2.

Unit cell a=9.4838 b=9.4838 c=9.4838 alpha=112.70 beta=112.44 gamma=103.44
Closest atoms and distances in Å follow each position.
Positions (direct):
Na (0.0000, 0.0000, 0.0000)  12 Ca 3.72-3.99
Na (0.5000, 0.5000, 0.0000)  8 Ca 3.59-3.61, 2 Cd 3.65
Ca (0.1219, 0.8243, 0.2976)  3 Cd 3.17-3.38
Ca (0.2167, 0.3111, 0.5279)  3 Cd 3.36-3.42, 1 Na 3.59
Ca (0.2167, 0.6889, 0.9056)  3 Cd 3.36-3.42, 1 Na 3.59
Ca (0.2558, 0.0476, 0.7918)  2 Cd 3.22-3.43
Ca (0.2558, 0.4641, 0.2082)  2 Cd 3.22-3.43
Ca (0.4732, 0.1757, 0.2976)  3 Cd 3.17-3.38
Ca (0.5268, 0.8243, 0.7024)  3 Cd 3.17-3.38
Ca (0.7442, 0.5359, 0.7918)  2 Cd 3.22-3.43
Ca (0.7442, 0.9524, 0.2082)  2 Cd 3.22-3.43
Ca (0.7833, 0.3111, 0.0944)  3 Cd 3.36-3.42, 1 Na 3.59
Ca (0.7833, 0.6889, 0.4721)  3 Cd 3.36-3.42, 1 Na 3.59
Ca (0.8781, 0.1757, 0.7024)  3 Cd 3.17-3.38
Cd (0.1244, 0.6244, 0.5000)  1 Cd 2.92, 2 Ca 3.17
Cd (0.5000, 0.1528, 0.6528)  1 Cd 3.21, 8 Ca 3.22-3.42
Cd (0.5000, 0.8472, 0.3472)  1 Cd 3.21, 8 Ca 3.22-3.42
Cd (0.8756, 0.3756, 0.5000)  1 Cd 2.92, 2 Ca 3.17

Properties
- Density: 2.49 g/cm3

Version B
VASP calculation (PBE) on an optimized crystal structure of NaCa6Cd2.

Unit cell a=6.6161 b=6.6161 c=13.3052 alpha=95.78 beta=95.78 gamma=35.48
Closest atoms and distances in Å follow each position.
Positions (direct):
Na (0.0000, 0.0000, 0.0000)  8 Ca 3.78-3.91, 2 Na 4.03
Ca (0.0242, 0.0242, 0.2855)  3 Cd 3.31-3.70
Ca (0.2852, 0.2852, 0.1283)  2 Cd 3.22
Ca (0.3599, 0.3599, 0.4633)  3 Cd 3.21-3.41, 1 Ca 3.56
Ca (0.6401, 0.6401, 0.5367)  3 Cd 3.21-3.41, 1 Ca 3.56
Ca (0.7148, 0.7148, 0.8717)  2 Cd 3.22
Ca (0.9758, 0.9758, 0.7145)  3 Cd 3.31-3.70
Cd (0.2665, 0.2665, 0.6949)  7 Ca 3.21-3.41
Cd (0.7335, 0.7335, 0.3051)  7 Ca 3.21-3.41

Properties
- Density: 2.41 g/cm3

version A comes first in stability; the runner-up is 4.6 kJ/mol of atoms higher.

Version A
VASP calculation (PBE) on an optimized crystal structure of Na2Ca2Cd.

Unit cell a=7.9274 b=7.9274 c=5.4150 alpha=90.00 beta=90.00 gamma=90.00
Closest atoms and distances in Å follow each position.
Positions (direct):
Na (0.1342, 0.3658, 0.0000)  1 Na 3.01, 2 Cd 3.09
Na (0.3658, 0.8658, 0.0000)  1 Na 3.01, 2 Cd 3.09
Na (0.6342, 0.1342, 0.0000)  1 Na 3.01, 2 Cd 3.09
Na (0.8658, 0.6342, 0.0000)  1 Na 3.01, 2 Cd 3.09
Ca (0.1819, 0.6819, 0.5000)  6 Na 3.40-3.71
Ca (0.3181, 0.1819, 0.5000)  6 Na 3.40-3.71
Ca (0.6819, 0.8181, 0.5000)  6 Na 3.40-3.71
Ca (0.8181, 0.3181, 0.5000)  6 Na 3.40-3.71
Cd (0.0000, 0.0000, 0.0000)  4 Na 3.09
Cd (0.5000, 0.5000, 0.0000)  4 Na 3.09

Properties
- Density: 2.33 g/cm3

Version B
VASP calculation (PBE) on an optimized crystal structure of Na2Ca2Cd.

Unit cell a=10.4569 b=10.4569 c=10.4569 alpha=157.12 beta=157.12 gamma=32.58
Closest atoms and distances in Å follow each position.
Positions (direct):
Na (0.2500, 0.7500, 0.5000)  4 Na 2.93
Na (0.7500, 0.2500, 0.5000)  4 Na 2.93
Ca (0.0881, 0.0881, 0.0000)  4 Cd 3.42, 1 Ca 3.54
Ca (0.9119, 0.9119, 0.0000)  4 Cd 3.42, 1 Ca 3.54
Cd (0.5000, 0.5000, 0.0000)  8 Ca 3.42

Properties
- Density: 2.29 g/cm3

version B comes first in stability; the runner-up is 1.7 kJ/mol of atoms higher.